Entry from the Alexandria database: crystalline NaSrCu3 at its relaxed geometry (PBE).

a b c (Å): 5.674 5.674 5.674
angles (deg): 90.00 90.00 90.00
Atoms (fractional coordinates):
1 Na 0.000 0.000 0.000
2 Sr 0.500 0.500 0.500
3 Cu 0.000 0.500 0.500
4 Cu 0.500 0.000 0.500
5 Cu 0.500 0.500 0.000

V in Å³/f.u.: 183
ΔE_f in eV/atom: 0.91
DOS(E_F) in states/eV per atom: 0.000

Entry from the Alexandria database: crystalline V4GaOs at its relaxed geometry (PBE).

a b c (Å): 3.059 3.059 8.762
angles (deg): 90.00 90.00 90.00
Atoms (fractional coordinates):
1 V 0.000 0.000 0.169
2 V 0.000 0.000 0.831
3 V 0.500 0.500 0.327
4 V 0.500 0.500 0.673
5 Ga 0.500 0.500 0.000
6 Os 0.000 0.000 0.500

V in Å³/f.u.: 82
ΔE_f in eV/atom: -0.22
DOS(E_F) in states/eV per atom: 0.799

Entry from the Alexandria database: crystalline Zn2InAs at its relaxed geometry (PBE).

a b c (Å): 4.049 4.049 9.546
angles (deg): 90.00 90.00 90.00
Atoms (fractional coordinates):
1 Zn 0.000 0.000 0.000
2 Zn 0.000 0.500 0.250
3 Zn 0.500 0.000 0.750
4 Zn 0.500 0.500 0.500
5 In 0.000 0.000 0.500
6 In 0.500 0.500 0.000
7 As 0.000 0.500 0.750
8 As 0.500 0.000 0.250

V in Å³/f.u.: 78
ΔE_f in eV/atom: 0.16
DOS(E_F) in states/eV per atom: 0.334

Entry from the Alexandria database: crystalline NpFe2 at its relaxed geometry (PBE).

a b c (Å): 2.899 2.899 10.630
angles (deg): 90.00 90.00 90.00
Atoms (fractional coordinates):
1 Np 0.000 0.000 0.000
2 Np 0.500 0.500 0.500
3 Fe 0.000 0.000 0.315
4 Fe 0.000 0.000 0.685
5 Fe 0.500 0.500 0.185
6 Fe 0.500 0.500 0.815

V in Å³/f.u.: 45
ΔE_f in eV/atom: 0.18
DOS(E_F) in states/eV per atom: 1.273

Entry from the Alexandria database: crystalline HgOF2 at its relaxed geometry (PBE).

a b c (Å): 5.819 5.819 5.819
angles (deg): 90.00 90.00 90.00
Atoms (fractional coordinates):
1 Hg 0.000 0.000 0.000
2 Hg 0.000 0.500 0.500
3 Hg 0.500 0.000 0.500
4 Hg 0.500 0.500 0.000
5 O 0.000 0.000 0.500
6 O 0.000 0.500 0.000
7 O 0.500 0.000 0.000
8 O 0.500 0.500 0.500
9 F 0.250 0.250 0.250
10 F 0.250 0.250 0.750
11 F 0.250 0.750 0.250
12 F 0.250 0.750 0.750
13 F 0.750 0.250 0.250
14 F 0.750 0.250 0.750
15 F 0.750 0.750 0.250
16 F 0.750 0.750 0.750

V in Å³/f.u.: 49
E_form (uncorrected) in eV/atom: -0.23
DOS(E_F) in states/eV per atom: 0.898

Entry from the Alexandria database: crystalline RbVAg2Br8 at its relaxed geometry (PBE).

a b c (Å): 6.678 7.128 8.978
angles (deg): 74.24 82.78 85.59
Atoms (fractional coordinates):
1 Rb 0.000 0.000 0.000
2 V 0.000 0.500 0.500
3 Ag 0.483 0.521 0.800
4 Ag 0.517 0.479 0.200
5 Br 0.068 0.514 0.767
6 Br 0.163 0.805 0.387
7 Br 0.330 0.311 0.474
8 Br 0.487 0.212 0.039
9 Br 0.513 0.788 0.961
10 Br 0.670 0.689 0.526
11 Br 0.837 0.195 0.613
12 Br 0.932 0.486 0.233

V in Å³/f.u.: 408
E_form (uncorrected) in eV/atom: -0.70
DOS(E_F) in states/eV per atom: 0.529

Entry from the Alexandria database: crystalline Cs5AsF2 at its relaxed geometry (PBE).

a b c (Å): 7.474 7.474 17.121
angles (deg): 90.00 90.00 133.81
Atoms (fractional coordinates):
1 Cs 0.020 0.980 0.631
2 Cs 0.020 0.980 0.869
3 Cs 0.248 0.752 0.250
4 Cs 0.339 0.661 0.545
5 Cs 0.339 0.661 0.955
6 Cs 0.661 0.339 0.045
7 Cs 0.661 0.339 0.455
8 Cs 0.752 0.248 0.750
9 Cs 0.980 0.020 0.131
10 Cs 0.980 0.020 0.369
11 As 0.427 0.573 0.750
12 As 0.573 0.427 0.250
13 F 0.140 0.860 0.014
14 F 0.140 0.860 0.486
15 F 0.860 0.140 0.514
16 F 0.860 0.140 0.986

V in Å³/f.u.: 345
E_form (uncorrected) in eV/atom: -1.43
DOS(E_F) in states/eV per atom: 0.831

Entry from the Alexandria database: crystalline W4Au at its relaxed geometry (PBE).

a b c (Å): 4.755 4.755 4.755
angles (deg): 90.00 90.00 90.00
Atoms (fractional coordinates):
1 W 0.000 0.000 0.000
2 W 0.000 0.500 0.500
3 W 0.500 0.000 0.500
4 W 0.500 0.500 0.000
5 Au 0.500 0.500 0.500

V in Å³/f.u.: 108
ΔE_f in eV/atom: 2.97
DOS(E_F) in states/eV per atom: 1.681

Entry from the Alexandria database: crystalline La2TeRu at its relaxed geometry (PBE).

a b c (Å): 4.315 4.315 22.436
angles (deg): 90.00 90.00 120.00
Atoms (fractional coordinates):
1 La 0.000 0.000 0.236
2 La 0.000 0.000 0.764
3 La 0.333 0.667 0.431
4 La 0.333 0.667 0.903
5 La 0.667 0.333 0.097
6 La 0.667 0.333 0.569
7 Te 0.000 0.000 0.000
8 Te 0.333 0.667 0.667
9 Te 0.667 0.333 0.333
10 Ru 0.000 0.000 0.500
11 Ru 0.333 0.667 0.167
12 Ru 0.667 0.333 0.833

V in Å³/f.u.: 121
E_form (uncorrected) in eV/atom: -0.78
DOS(E_F) in states/eV per atom: 0.641

Entry from the Alexandria database: crystalline BaNa2ThS4 at its relaxed geometry (PBE).

a b c (Å): 7.156 4.284 7.631
angles (deg): 90.00 111.18 90.00
Atoms (fractional coordinates):
1 Ba 0.000 0.000 0.000
2 Na 0.500 0.000 0.500
3 Na 0.500 0.500 0.000
4 Th 0.000 0.500 0.500
5 S 0.234 0.000 0.723
6 S 0.237 0.500 0.285
7 S 0.763 0.500 0.715
8 S 0.766 0.000 0.277

V in Å³/f.u.: 218
E_form (uncorrected) in eV/atom: -1.71
DOS(E_F) in states/eV per atom: 0.000

Entry from the Alexandria database: crystalline Ag2SBr at its relaxed geometry (PBE).

a b c (Å): 6.023 6.023 11.873
angles (deg): 90.00 90.00 90.00
Atoms (fractional coordinates):
1 Ag 0.199 0.250 0.125
2 Ag 0.250 0.699 0.375
3 Ag 0.250 0.801 0.875
4 Ag 0.301 0.250 0.625
5 Ag 0.699 0.750 0.625
6 Ag 0.750 0.199 0.875
7 Ag 0.750 0.301 0.375
8 Ag 0.801 0.750 0.125
9 S 0.000 0.000 0.000
10 S 0.000 0.500 0.250
11 S 0.500 0.000 0.750
12 S 0.500 0.500 0.500
13 Br 0.000 0.000 0.500
14 Br 0.000 0.500 0.750
15 Br 0.500 0.000 0.250
16 Br 0.500 0.500 0.000

V in Å³/f.u.: 108
E_form (uncorrected) in eV/atom: -0.07
DOS(E_F) in states/eV per atom: 0.886

Entry from the Alexandria database: crystalline SiAsPtI2 at its relaxed geometry (PBE).

a b c (Å): 5.621 5.621 4.549
angles (deg): 90.00 90.00 90.00
Atoms (fractional coordinates):
1 Si 0.000 0.000 0.000
2 As 0.500 0.500 0.000
3 Pt 0.000 0.000 0.500
4 I 0.000 0.500 0.500
5 I 0.500 0.000 0.500

V in Å³/f.u.: 144
E_form (uncorrected) in eV/atom: 0.60
DOS(E_F) in states/eV per atom: 0.869

Entry from the Alexandria database: crystalline Li2NpGaO6 at its relaxed geometry (PBE).

a b c (Å): 5.686 5.686 4.089
angles (deg): 90.00 90.00 90.00
Atoms (fractional coordinates):
1 Li 0.000 0.500 0.000
2 Li 0.500 0.000 0.000
3 Np 0.000 0.000 0.785
4 Ga 0.500 0.500 0.758
5 O 0.000 0.000 0.290
6 O 0.249 0.249 0.817
7 O 0.249 0.751 0.817
8 O 0.500 0.500 0.287
9 O 0.751 0.249 0.817
10 O 0.751 0.751 0.817

V in Å³/f.u.: 132
E_form (uncorrected) in eV/atom: -2.01
DOS(E_F) in states/eV per atom: 0.808

Entry from the Alexandria database: crystalline Pr2Y3Mg3 at its relaxed geometry (PBE).

a b c (Å): 3.850 5.460 22.755
angles (deg): 90.00 90.00 90.00
Atoms (fractional coordinates):
1 Pr 0.000 0.000 0.233
2 Pr 0.000 0.000 0.767
3 Pr 0.500 0.500 0.267
4 Pr 0.500 0.500 0.733
5 Y 0.000 0.000 0.000
6 Y 0.000 0.500 0.121
7 Y 0.000 0.500 0.879
8 Y 0.500 0.000 0.379
9 Y 0.500 0.000 0.621
10 Y 0.500 0.500 0.500
11 Mg 0.000 0.000 0.500
12 Mg 0.000 0.500 0.387
13 Mg 0.000 0.500 0.613
14 Mg 0.500 0.000 0.113
15 Mg 0.500 0.000 0.887
16 Mg 0.500 0.500 0.000

V in Å³/f.u.: 239
ΔE_f in eV/atom: -0.07
DOS(E_F) in states/eV per atom: 1.177

Entry from the Alexandria database: crystalline Ce3B2PdPt9 at its relaxed geometry (PBE).

a b c (Å): 5.704 5.704 9.744
angles (deg): 90.00 90.00 120.00
Atoms (fractional coordinates):
1 Ce 0.000 0.000 0.000
2 Ce 0.333 0.667 0.602
3 Ce 0.667 0.333 0.398
4 B 0.333 0.667 0.147
5 B 0.667 0.333 0.853
6 Pd 0.000 0.000 0.500
7 Pt 0.000 0.500 0.000
8 Pt 0.165 0.330 0.280
9 Pt 0.165 0.835 0.280
10 Pt 0.330 0.165 0.720
11 Pt 0.500 0.000 0.000
12 Pt 0.500 0.500 0.000
13 Pt 0.670 0.835 0.280
14 Pt 0.835 0.165 0.720
15 Pt 0.835 0.670 0.720

V in Å³/f.u.: 275
ΔE_f in eV/atom: -0.73
DOS(E_F) in states/eV per atom: 1.345

Entry from the Alexandria database: crystalline LiAgHgCl4 at its relaxed geometry (PBE).

a b c (Å): 7.873 7.873 7.873
angles (deg): 120.85 119.65 89.57
Atoms (fractional coordinates):
1 Li 0.000 0.000 0.000
2 Li 0.500 0.000 0.500
3 Ag 0.500 0.000 0.000
4 Ag 0.500 0.500 0.500
5 Hg 0.122 0.372 0.750
6 Hg 0.878 0.628 0.250
7 Cl 0.243 0.233 0.010
8 Cl 0.250 0.228 0.478
9 Cl 0.250 0.772 0.022
10 Cl 0.277 0.767 0.510
11 Cl 0.723 0.233 0.490
12 Cl 0.750 0.228 0.978
13 Cl 0.750 0.772 0.522
14 Cl 0.757 0.767 0.990

V in Å³/f.u.: 172
E_form (uncorrected) in eV/atom: -0.88

Entry from the Alexandria database: crystalline Cs2NaF at its relaxed geometry (PBE).

a b c (Å): 9.002 9.002 11.558
angles (deg): 90.00 90.00 90.00
Atoms (fractional coordinates):
1 Cs 0.106 0.250 0.125
2 Cs 0.250 0.606 0.375
3 Cs 0.250 0.894 0.875
4 Cs 0.394 0.250 0.625
5 Cs 0.606 0.750 0.625
6 Cs 0.750 0.106 0.875
7 Cs 0.750 0.394 0.375
8 Cs 0.894 0.750 0.125
9 Na 0.000 0.000 0.500
10 Na 0.000 0.500 0.750
11 Na 0.500 0.000 0.250
12 Na 0.500 0.500 0.000
13 F 0.000 0.000 0.000
14 F 0.000 0.500 0.250
15 F 0.500 0.000 0.750
16 F 0.500 0.500 0.500

V in Å³/f.u.: 234
E_form (uncorrected) in eV/atom: -1.27
DOS(E_F) in states/eV per atom: 0.222

Entry from the Alexandria database: crystalline HfTe2W2 at its relaxed geometry (PBE).

a b c (Å): 5.093 5.093 5.224
angles (deg): 90.00 90.00 90.00
Atoms (fractional coordinates):
1 Hf 0.000 0.000 0.000
2 Te 0.000 0.000 0.500
3 Te 0.500 0.500 0.500
4 W 0.000 0.500 0.000
5 W 0.500 0.000 0.000

V in Å³/f.u.: 135
E_form (uncorrected) in eV/atom: 2.01
DOS(E_F) in states/eV per atom: 1.474

Entry from the Alexandria database: crystalline Sm3Dy2 at its relaxed geometry (PBE).

a b c (Å): 11.354 5.082 8.035
angles (deg): 90.00 134.94 90.00
Atoms (fractional coordinates):
1 Sm 0.000 0.000 0.000
2 Sm 0.099 0.500 0.398
3 Sm 0.401 0.000 0.602
4 Sm 0.500 0.500 0.000
5 Sm 0.599 0.000 0.398
6 Sm 0.901 0.500 0.602
7 Dy 0.199 0.000 0.800
8 Dy 0.301 0.500 0.200
9 Dy 0.699 0.500 0.800
10 Dy 0.801 0.000 0.200

V in Å³/f.u.: 164
ΔE_f in eV/atom: 0.02
DOS(E_F) in states/eV per atom: 1.425

Entry from the Alexandria database: crystalline Sr2PPt at its relaxed geometry (PBE).

a b c (Å): 4.255 4.347 15.364
angles (deg): 90.00 90.00 90.00
Atoms (fractional coordinates):
1 Sr 0.000 0.000 0.000
2 Sr 0.000 0.500 0.224
3 Sr 0.500 0.000 0.724
4 Sr 0.500 0.500 0.500
5 P 0.000 0.000 0.584
6 P 0.500 0.500 0.084
7 Pt 0.000 0.500 0.640
8 Pt 0.500 0.000 0.140

V in Å³/f.u.: 142
ΔE_f in eV/atom: -0.78
DOS(E_F) in states/eV per atom: 0.949

Entry from the Alexandria database: crystalline Dy2TmZnC at its relaxed geometry (PBE).

a b c (Å): 4.904 4.904 4.751
angles (deg): 90.00 90.00 90.00
Atoms (fractional coordinates):
1 Dy 0.000 0.500 0.000
2 Dy 0.500 0.000 0.000
3 Tm 0.000 0.000 0.500
4 Zn 0.500 0.500 0.500
5 C 0.000 0.000 0.000

V in Å³/f.u.: 114
ΔE_f in eV/atom: -0.25
DOS(E_F) in states/eV per atom: 1.328

Entry from the Alexandria database: crystalline Hf3GaSe at its relaxed geometry (PBE).

a b c (Å): 7.935 7.935 8.492
angles (deg): 90.00 90.00 155.24
Atoms (fractional coordinates):
1 Hf 0.108 0.892 0.750
2 Hf 0.338 0.662 0.548
3 Hf 0.338 0.662 0.952
4 Hf 0.662 0.338 0.048
5 Hf 0.662 0.338 0.452
6 Hf 0.892 0.108 0.250
7 Ga 0.251 0.749 0.250
8 Ga 0.749 0.251 0.750
9 Se 0.475 0.525 0.750
10 Se 0.525 0.475 0.250

V in Å³/f.u.: 112
E_form (uncorrected) in eV/atom: -0.39
DOS(E_F) in states/eV per atom: 0.595

Entry from the Alexandria database: crystalline CuTe2Mo at its relaxed geometry (PBE).

a b c (Å): 3.419 3.419 26.484
angles (deg): 90.00 90.00 120.00
Atoms (fractional coordinates):
1 Cu 0.000 0.000 0.000
2 Cu 0.333 0.667 0.667
3 Cu 0.667 0.333 0.333
4 Te 0.000 0.000 0.402
5 Te 0.000 0.000 0.598
6 Te 0.333 0.667 0.068
7 Te 0.333 0.667 0.265
8 Te 0.667 0.333 0.735
9 Te 0.667 0.333 0.932
10 Mo 0.000 0.000 0.500
11 Mo 0.333 0.667 0.167
12 Mo 0.667 0.333 0.833

V in Å³/f.u.: 89
E_form (uncorrected) in eV/atom: 0.75
DOS(E_F) in states/eV per atom: 1.047

Entry from the Alexandria database: crystalline YAsSeN2 at its relaxed geometry (PBE).

a b c (Å): 4.054 4.054 5.705
angles (deg): 90.00 90.00 90.00
Atoms (fractional coordinates):
1 Y 0.000 0.000 0.000
2 As 0.500 0.500 0.000
3 Se 0.000 0.000 0.500
4 N 0.000 0.500 0.500
5 N 0.500 0.000 0.500

V in Å³/f.u.: 94
E_form (uncorrected) in eV/atom: 1.02
DOS(E_F) in states/eV per atom: 0.772

Entry from the Alexandria database: crystalline YSnPb3 at its relaxed geometry (PBE).

a b c (Å): 5.729 5.729 5.729
angles (deg): 90.00 90.00 90.00
Atoms (fractional coordinates):
1 Y 0.000 0.000 0.000
2 Sn 0.500 0.500 0.500
3 Pb 0.000 0.500 0.500
4 Pb 0.500 0.000 0.500
5 Pb 0.500 0.500 0.000

V in Å³/f.u.: 188
ΔE_f in eV/atom: 0.52
DOS(E_F) in states/eV per atom: 0.640